## NaSm2MoO5 (PBE with a Hubbard U)

Data for a relaxed structure of NaSm2MoO5.

a = 6.8215 Å, b = 6.8215 Å, c = 5.7836 Å
α = 90.00°, β = 90.00°, γ = 90.00°
With the nearest neighbours (Å) after each atom.
Space group P4/mbm (No. 127)
Asymmetric unit:
Na1 0.0000 0.0000 0.0000  10 O 2.89-3.01
Sm1 0.1779 0.3221 0.5000  4 O 2.29-2.51
Mo1 0.0000 0.5000 0.0000  4 O 1.97
O1 0.0000 0.0000 0.5000  4 Sm 2.51
O2 0.1382 0.6382 0.2499  1 Mo 1.97

- calculated density (g/cm³) = 6.166
- total moment (Bohr magnetons per cell) = 2.0
- calculated total energy (eV per atom) = -7.119